An optimized crystal structure of InFeSb2, computed with PBE.

For the density of states at the Fermi level, the calculation gives 0.90 states/eV/atom. The raw formation energy comes out at 0.25 eV per atom.

Lattice parameters (Å, degrees): 3.1917 3.1917 8.6372 90.00 90.00 90.00
Space group P4mm (No. 99)
Asymmetric unit:
In: 0.0000 0.0000 0.0000 (multiplicity 1)
Fe: 0.5000 0.5000 0.8011 (multiplicity 1)
Sb: 0.0000 0.0000 0.6308 (multiplicity 1)
Sb: 0.5000 0.5000 0.2981 (multiplicity 1)

An optimized crystal structure of CsBaCa2, computed with PBE.

For the energy above the most stable polymorph in this dataset, the calculation gives 0.211 eV per atom. For the density of states at the Fermi level, the calculation gives 1.80 states/eV/atom.

Lattice parameters (Å, degrees): 10.7894 10.7894 7.9510 90.00 90.00 90.00
Space group I-42d (No. 122)
Asymmetric unit:
Cs: 0.0000 0.0000 0.0000 (multiplicity 4)
Ba: 0.0000 0.0000 0.5000 (multiplicity 4)
Ca: 0.2485 0.2500 0.1250 (multiplicity 8)

An optimized crystal structure of Pr5NdMg3, computed with PBE.

For the raw total energy, the calculation gives -3.39 eV/atom. For the density of states at the Fermi level, the calculation gives 1.44 states/eV/atom.

Lattice parameters (Å, degrees): 13.6500 8.3482 11.1226 90.00 97.17 90.00
Space group C2/m (No. 12)
Asymmetric unit:
Pr: 0.0000 0.1701 0.0000 (multiplicity 4)
Pr: 0.0118 0.0000 0.6356 (multiplicity 4)
Pr: 0.1495 0.2918 0.7214 (multiplicity 8)
Pr: 0.2436 0.5000 0.0319 (multiplicity 4)
Nd: 0.1092 0.5000 0.2658 (multiplicity 4)
Mg: 0.0000 0.5000 0.0000 (multiplicity 2)
Mg: 0.0000 0.5000 0.5000 (multiplicity 2)
Mg: 0.1565 0.0000 0.2107 (multiplicity 4)
Mg: 0.2225 0.0000 0.4900 (multiplicity 4)

An optimized crystal structure of CdHgPt4, computed with PBE.

For the raw total energy, the calculation gives -4.26 eV/atom. For the density of states at the Fermi level, the calculation gives 1.22 states/eV/atom.

Lattice parameters (Å, degrees): 7.5984 7.5984 7.5984 90.00 90.00 90.00
Space group F-43m (No. 216)
Asymmetric unit:
Cd: 0.0000 0.0000 0.0000 (multiplicity 4)
Hg: 0.2500 0.2500 0.7500 (multiplicity 4)
Pt: 0.1250 0.1250 0.3750 (multiplicity 16)